Compound: NaAl3Cr2O14
Source: Alexandria via LeMat-Bulk
Functional: GGA+U
Structure: relaxed

Space-group type: R-3m
DFT total energy, eV per atom: -6.23

Cell: 7.123 7.123 7.123 Å, 59.87 59.87 59.87°
Last column: magnetic moment on the atom in μB.
Positions (direct):
1 Al 0.500 0.000 0.000  -0.02
2 Cr 0.689 0.689 0.689  -0.18
3 O 0.081 0.744 0.744  0.72
4 O 0.468 0.852 0.852  0.14
5 O 0.148 0.532 0.148  0.14
6 O 0.744 0.744 0.081  0.72
7 O 0.532 0.148 0.148  0.14
8 O 0.256 0.256 0.919  0.72
9 O 0.403 0.403 0.403  0.11
10 O 0.852 0.852 0.468  0.14
11 O 0.256 0.919 0.256  0.72
12 Al 0.000 0.500 0.000  -0.02
13 O 0.919 0.256 0.256  0.72
14 O 0.744 0.081 0.744  0.72
15 O 0.148 0.148 0.532  0.14
16 Al 0.000 0.000 0.500  -0.02
17 O 0.597 0.597 0.597  0.11
18 Na 0.000 0.000 0.000  0.00
19 Cr 0.311 0.311 0.311  -0.18
20 O 0.852 0.468 0.852  0.14